## PrTlCu (PBE)

Data for a relaxed PrTlCu crystal.

Results
Formation energy from the elements in meV per atom: -224
E_tot in Ry/atom: -0.2919
N(E_F) in states/eV/cell: 3.97
Space group: Cmcm

a = 5.095 Å, b = 5.087 Å, c = 6.499 Å
α = 90.00°, β = 90.00°, γ = 120.05°
Sites, in units of the cell vectors:
Tl (0.000, 0.000, 0.000)
Tl (0.000, 0.000, 0.500)
Pr (0.666, 0.333, 0.250)
Pr (0.334, 0.667, 0.750)
Cu (0.333, 0.665, 0.250)
Cu (0.667, 0.335, 0.750)

***

## Li2TiMn2S6 (PBE)

Data for a relaxed Li2TiMn2S6 crystal.

Results
E_tot in Ry/atom: -0.4377
N(E_F) in states/eV/cell: 4.31
Space group: C2/m
Formation energy without anion corrections in eV/atom: -0.9715

a = 5.818 Å, b = 5.818 Å, c = 6.499 Å
α = 98.56°, β = 98.56°, γ = 120.15°
Sites, in units of the cell vectors:
Li (0.838, 0.162, 0.000)
Li (0.162, 0.838, 0.000)
Ti (0.000, 0.000, 0.500)
Mn (0.333, 0.667, 0.500)
Mn (0.667, 0.333, 0.500)
S (0.728, 0.728, 0.723)
S (0.073, 0.421, 0.722)
S (0.272, 0.272, 0.277)
S (0.421, 0.073, 0.722)
S (0.927, 0.579, 0.278)
S (0.579, 0.927, 0.278)

***

## VFeTc2Te (PBE)

Data for a relaxed VFeTc2Te crystal.

Results
E_tot in Ry/atom: -0.5220
N(E_F) in states/eV/cell: 8.54
Space group: P4/mmm
Formation energy without anion corrections in eV/atom: 1.1885

a = 4.546 Å, b = 4.252 Å, c = 4.546 Å
α = 90.00°, β = 90.00°, γ = 90.00°
Sites, in units of the cell vectors:
V (0.000, 0.000, 0.000)
Te (0.500, 0.500, 0.500)
Tc (0.000, 0.000, 0.500)
Tc (0.500, 0.000, 0.000)
Fe (0.000, 0.500, 0.000)

***

## Ac4Tl2Ir (PBE)

Data for a relaxed Ac4Tl2Ir crystal.

Results
Formation energy from the elements in meV per atom: -434
E_tot in Ry/atom: -0.3472
N(E_F) in states/eV/cell: 7.57
E above lowest polymorph in eV per formula unit: 0.00
Space group: C2/m

a = 4.739 Å, b = 7.056 Å, c = 8.589 Å
α = 73.92°, β = 73.98°, γ = 70.38°
Sites, in units of the cell vectors:
Ac (0.078, 0.196, 0.647)
Ac (0.922, 0.804, 0.353)
Ac (0.338, 0.261, 0.063)
Ac (0.662, 0.739, 0.937)
Ir (0.000, 0.000, 0.000)
Tl (0.363, 0.616, 0.659)
Tl (0.637, 0.384, 0.341)

***

## Ti2AlCoSb (PBE)

Data for a relaxed Ti2AlCoSb crystal.

Results
E_tot in Ry/atom: -0.4591
N(E_F) in states/eV/cell: 3.59
Space group: P4/mmm
Formation energy without anion corrections in eV/atom: -0.0947

a = 4.543 Å, b = 4.460 Å, c = 4.543 Å
α = 90.00°, β = 90.00°, γ = 90.00°
Sites, in units of the cell vectors:
Sb (0.500, 0.500, 0.500)
Co (0.000, 0.000, 0.000)
Al (0.000, 0.500, 0.000)
Ti (0.000, 0.000, 0.500)
Ti (0.500, 0.000, 0.000)

***

## LiAlCr2 (PBE)

Data for a relaxed LiAlCr2 crystal.

Results
Formation energy from the elements in meV per atom: 86
E_tot in Ry/atom: -0.4513
N(E_F) in states/eV/cell: 2.75
Space group: P4mm

a = 2.980 Å, b = 2.980 Å, c = 6.185 Å
α = 90.00°, β = 90.00°, γ = 90.00°
Sites, in units of the cell vectors:
Al (0.500, 0.500, 0.762)
Cr (0.000, 0.000, 0.031)
Cr (0.500, 0.500, 0.212)
Li (0.000, 0.000, 0.496)

***

## Ba4Cu3Ag (PBE)

Data for a relaxed Ba4Cu3Ag crystal.

Results
Formation energy from the elements in meV per atom: -68
E_tot in Ry/atom: -0.2148
N(E_F) in states/eV/cell: 6.58
Space group: Pmm2

a = 4.654 Å, b = 4.621 Å, c = 12.854 Å
α = 90.00°, β = 90.00°, γ = 90.00°
Sites, in units of the cell vectors:
Ag (0.500, 0.500, 0.056)
Ba (0.500, 0.500, 0.368)
Ba (0.000, 0.500, 0.859)
Ba (0.000, 0.000, 0.137)
Ba (0.500, 0.000, 0.636)
Cu (0.000, 0.500, 0.549)
Cu (0.000, 0.000, 0.456)
Cu (0.500, 0.000, 0.938)

***

## BaCuPdPb2 (PBE)

Data for a relaxed BaCuPdPb2 crystal.

Results
Formation energy from the elements in meV per atom: 1373
E_tot in Ry/atom: -0.1729
N(E_F) in states/eV/cell: 4.16
Space group: P4/mmm

a = 6.268 Å, b = 4.946 Å, c = 6.268 Å
α = 90.00°, β = 90.00°, γ = 90.00°
Sites, in units of the cell vectors:
Pb (0.000, 0.000, 0.500)
Pb (0.500, 0.000, 0.000)
Cu (0.000, 0.500, 0.000)
Ba (0.000, 0.000, 0.000)
Pd (0.500, 0.500, 0.500)